NaPmPtPb | GGA-PBE | optimized geometry

Unit cell a=7.0859 b=7.0859 c=7.0859 alpha=90.00 beta=90.00 gamma=90.00
Closest atoms and distances in Å follow each position.
Space group F-43m (No. 216)
Inequivalent atoms, fractional coordinates:
Na: 0.0000 0.0000 0.0000 x4  4 Pb 3.07, 4 Pm 3.07
Pm: 0.2500 0.2500 0.7500 x4  4 Na 3.07, 4 Pt 3.07
Pt: 0.0000 0.0000 0.5000 x4  4 Pm 3.07, 4 Pb 3.07
Pb: 0.2500 0.2500 0.2500 x4  4 Na 3.07, 4 Pt 3.07

Summary:
Density of states at the Fermi level, states/eV/f.u.: 0.280
Calculated formation energy, kJ/mol of atoms: -53.2



Na3Pm2PbS6 | GGA-PBE | optimized geometry

Unit cell a=7.0928 b=12.2772 c=7.1324 alpha=90.00 beta=109.40 gamma=90.00
Closest atoms and distances in Å follow each position.
Space group C2/m (No. 12)
Inequivalent atoms, fractional coordinates:
Na: 0.0000 0.0000 0.0000 x2  6 S 2.94-2.97
Na: 0.0000 0.3375 0.0000 x4  6 S 2.94-2.98
Pm: 0.0000 0.1669 0.5000 x4  6 S 2.83
Pb: 0.0000 0.5000 0.5000 x2  6 S 2.87
S: 0.2406 0.0000 0.7346 x4  2 Pm 2.83, 1 Pb 2.87, 3 Na 2.94
S: 0.2473 0.3315 0.7350 x8  2 Pm 2.83, 1 Pb 2.87, 3 Na 2.97-2.98

Summary:
Formation energy from raw total energies, eV/f.u.: -16.73
Density of states at the Fermi level, states/eV/f.u.: 4.898